Record 1
La2Au2F | meta-GGA SCAN | PBEsol geometry

abc: 5.4867 5.4867 9.2314
angles: 90.00 90.00 90.00
Last column: nearest neighbours and their distance in Å.
Space group I4/mmm (No. 139)
Symmetry-distinct sites (fractional):
La 0.0000 0.5000 0.2500 (multiplicity 4)  4 Au 2.93
Au 0.0000 0.0000 0.1390 (multiplicity 4)  1 Au 2.57
F 0.0000 0.0000 0.5000 (multiplicity 2)  2 Au 3.33, 8 La 3.58

Output
Raw formation energy   -1106 meV/atom



Record 2
LiAuF4 | meta-GGA SCAN | PBEsol geometry

abc: 10.8311 6.3823 4.8722
angles: 90.00 113.56 90.00
Last column: nearest neighbours and their distance in Å.
Space group C2/c (No. 15)
Symmetry-distinct sites (fractional):
Li 0.0000 0.1583 0.2500 (multiplicity 4)  6 F 1.95-2.14
Au 0.2500 0.2500 0.0000 (multiplicity 4)  4 F 1.94
F 0.1098 0.0997 0.6806 (multiplicity 8)  1 Au 1.94, 2 Li 1.99-2.14
F 0.1261 0.3432 0.1714 (multiplicity 8)  1 Au 1.94, 1 Li 1.95

Output
Raw formation energy   -1881 meV/atom



Record 3
LiAuF6 | meta-GGA SCAN | PBEsol geometry

abc: 5.0004 5.0004 13.6285
angles: 90.00 90.00 120.00
Last column: nearest neighbours and their distance in Å.
Space group R-3 (No. 148, hexagonal axes)
Symmetry-distinct sites (fractional):
Li 0.0000 0.0000 0.0000 (multiplicity 3)  6 F 2.03
Au 0.0000 0.0000 0.5000 (multiplicity 3)  6 F 1.92
F 0.0132 0.3633 0.2484 (multiplicity 18)  1 Au 1.92, 1 Li 2.03

Output
Raw formation energy   -1608 meV/atom



Record 4
LiAuNF2 | meta-GGA SCAN | PBEsol geometry

abc: 4.6115 4.6115 3.6693
angles: 90.00 90.00 90.00
Last column: nearest neighbours and their distance in Å.
Space group P4/mmm (No. 123)
Symmetry-distinct sites (fractional):
Li 0.0000 0.0000 0.0000 (multiplicity 1)  8 F 2.95, 4 N 3.26
Au 0.5000 0.5000 0.5000 (multiplicity 1)  2 N 1.83
N 0.5000 0.5000 0.0000 (multiplicity 1)  2 Au 1.83
F 0.0000 0.5000 0.5000 (multiplicity 2)  2 Au 2.31

Output
Raw formation energy   -416 meV/atom



Record 5
MgAu2F8 | meta-GGA SCAN | PBEsol geometry

abc: 5.5053 5.5235 10.8635
angles: 90.00 109.49 90.00
Last column: nearest neighbours and their distance in Å.
Space group P2_1/c (No. 14)
Symmetry-distinct sites (fractional):
Mg 0.0000 0.0000 0.0000 (multiplicity 2)  6 F 1.99-2.02
Au 0.3674 0.2206 0.3292 (multiplicity 4)  4 F 1.91-1.96
F 0.0681 0.1256 0.1830 (multiplicity 4)  1 Au 1.94, 1 Mg 2.02
F 0.1620 0.2152 0.4457 (multiplicity 4)  1 Au 1.96, 1 Mg 1.99
F 0.3286 0.6863 0.5268 (multiplicity 4)  1 Au 1.94, 1 Mg 2.02
F 0.4314 0.7195 0.2842 (multiplicity 4)  1 Au 1.91

Output
Raw formation energy   -1873 meV/atom



Record 6
MgAuO2F | meta-GGA SCAN | PBEsol geometry

abc: 4.0596 4.0596 4.1751
angles: 90.00 90.00 90.00
Last column: nearest neighbours and their distance in Å.
Space group P4/mmm (No. 123)
Symmetry-distinct sites (fractional):
Mg 0.0000 0.0000 0.0000 (multiplicity 1)  4 F 2.87, 8 O 2.91
Au 0.5000 0.5000 0.5000 (multiplicity 1)  4 O 2.03, 2 F 2.09
O 0.0000 0.5000 0.5000 (multiplicity 2)  2 Au 2.03
F 0.5000 0.5000 0.0000 (multiplicity 1)  2 Au 2.09

Output
Raw formation energy   -665 meV/atom



Record 7
MgRe2AuF | meta-GGA SCAN | PBEsol geometry

abc: 3.9927 3.9927 4.9688
angles: 90.00 90.00 90.00
Last column: nearest neighbours and their distance in Å.
Space group P4/mmm (No. 123)
Symmetry-distinct sites (fractional):
Mg 0.0000 0.0000 0.0000 (multiplicity 1)  4 Au 2.82
Re 0.0000 0.5000 0.5000 (multiplicity 2)  2 F 2.00
Au 0.5000 0.5000 0.0000 (multiplicity 1)  2 F 2.48
F 0.5000 0.5000 0.5000 (multiplicity 1)  4 Re 2.00

Output
Raw formation energy   917 meV/atom



Record 8
Mg2AuSeF | meta-GGA SCAN | PBEsol geometry

abc: 4.0530 4.0530 5.2709
angles: 90.00 90.00 90.00
Last column: nearest neighbours and their distance in Å.
Space group P4/mmm (No. 123)
Symmetry-distinct sites (fractional):
Mg 0.0000 0.5000 0.0000 (multiplicity 2)  2 F 2.03
Au 0.0000 0.0000 0.5000 (multiplicity 1)  4 Se 2.87
Se 0.5000 0.5000 0.5000 (multiplicity 1)  2 F 2.64, 4 Au 2.87
F 0.5000 0.5000 0.0000 (multiplicity 1)  4 Mg 2.03

Output
Raw formation energy   -886 meV/atom